6
Lattice="-0.124 3.247 2.613 0.940 -0.390 3.856 4.350 4.536 -2.103" Properties=species:S:1:pos:R:3 comment="AlNi4Sn PBE optimized geometry" space_group=C2/m density_g_cm3=8.04 e_above_lowest_polymorph_kj_per_mol_atoms=0.00 magmom_total_mub_per_cell=0.00 formation_energy_ev_per_atom=-0.20 pbc="T T T"
Al 0.000 0.000 0.000
Ni 1.315 2.036 4.185
Ni 3.851 5.356 0.181
Ni 3.223 6.158 2.481
Ni 1.943 1.234 1.885
Sn 2.583 3.696 2.183


80
Lattice="14.957 0.000 0.000 -4.986 14.102 0.000 -4.986 -7.051 12.212" Properties=species:S:1:pos:R:3 comment="Ac12Sn3O5 PBE optimized geometry" raw_formation_energy_mev_per_atom=-1507 space_group=Ia-3d density_g_cm3=8.15 magmom_total_mub_per_cell=0.08 pbc="T T T"
Sn 8.725 4.407 1.527
Sn 8.725 9.695 1.527
Sn -1.246 6.169 7.633
Sn 1.246 -0.881 4.580
Sn 11.218 0.000 3.053
Sn 1.246 7.051 3.053
Sn 3.739 0.000 9.159
Sn -6.232 7.051 9.159
Sn 3.739 7.932 7.633
Sn 6.232 0.881 4.580
Sn -3.739 -2.644 10.686
Sn -3.739 2.644 10.686
O -1.246 3.525 3.053
O -2.493 7.051 0.000
O 0.000 0.000 0.000
O 3.739 2.644 1.527
O 4.986 -3.525 6.106
O 4.986 7.051 0.000
O -3.739 7.932 4.580
O 6.232 -4.407 10.686
O 6.232 6.169 4.580
O 1.246 -3.525 9.159
O 3.739 10.576 3.053
O 2.493 3.525 6.106
O 7.478 0.000 0.000
O -2.493 -3.525 6.106
O -1.246 0.881 7.633
O -1.246 11.458 1.527
O -4.986 3.525 6.106
O 8.725 -0.881 7.633
O 1.246 4.407 10.686
O 6.232 3.525 9.159
Ac 9.856 1.471 0.142
Ac 0.116 4.384 4.903
Ac 11.341 3.379 3.670
Ac 6.108 2.037 1.345
Ac 1.898 5.014 8.401
Ac 10.863 7.115 2.295
Ac -1.370 8.393 5.014
Ac -3.616 12.065 1.345
Ac 0.594 9.088 8.401
Ac 6.587 6.987 2.295
Ac 7.594 4.138 4.761
Ac 7.594 12.631 0.142
Ac -4.391 6.257 6.248
Ac 3.384 5.031 1.092
Ac -5.101 9.963 4.761
Ac 2.608 -2.667 7.309
Ac -0.594 1.243 2.436
Ac 3.384 9.006 1.203
Ac 6.108 10.722 3.670
Ac -0.891 5.096 1.203
Ac -3.087 8.294 9.776
Ac 3.863 5.708 5.014
Ac 6.884 7.845 6.248
Ac 5.877 -2.019 11.121
Ac 1.123 1.342 7.198
Ac -1.898 -0.794 5.964
Ac -0.891 9.070 1.092
Ac -1.123 -3.671 8.543
Ac 8.073 -1.243 2.436
Ac 5.877 1.955 11.009
Ac 1.602 -1.955 11.009
Ac 2.377 9.718 4.903
Ac 5.580 5.808 9.776
Ac 10.087 -2.913 7.451
Ac 9.377 0.794 5.964
Ac -2.608 -5.580 12.071
Ac 1.602 2.019 11.121
Ac 4.391 -2.037 3.811
Ac -1.602 0.064 9.918
Ac -2.608 2.913 7.451
Ac 8.601 -5.014 10.868
Ac 6.356 -1.342 7.198
Ac -1.123 5.014 10.868
Ac -5.877 -0.064 9.918
Ac 3.087 2.037 3.811
Ac -6.356 3.671 8.543
Ac 4.870 2.667 7.309
Ac -4.870 5.580 12.071


4
Lattice="-2.542 3.273 -3.303 -1.788 -1.796 -4.655 -5.209 -0.562 -0.800" Properties=species:S:1:pos:R:3 comment="SmYTlAu PBE optimized geometry" space_group=F-43m density_g_cm3=10.11 e_above_lowest_polymorph_kj_per_mol_atoms=4.40 magmom_total_mub_per_cell=0.00 formation_energy_ev_per_atom=-0.56 pbc="T T T"
Y -7.154 0.687 -6.568
Tl 0.000 0.000 0.000
Au -4.769 0.458 -4.379
Sm -2.385 0.229 -2.189


8
Lattice="4.158 0.000 0.000 0.000 7.246 0.140 0.000 -2.516 6.760" Properties=species:S:1:pos:R:3 comment="Ce2NdPaSe4 PBE optimized geometry" raw_formation_energy_mev_per_atom=-1658 space_group=P2/m density_g_cm3=7.86 magmom_total_mub_per_cell=2.25 pbc="T T T"
Ce 2.079 -1.258 3.380
Ce 0.000 2.365 3.450
Nd 0.000 0.000 0.000
Pa 2.079 3.623 0.070
Se 2.079 1.216 1.713
Se 2.079 3.514 5.186
Se 0.000 -0.050 5.137
Se 0.000 4.779 1.763


4
Lattice="4.192 0.000 0.000 0.000 4.192 0.000 0.000 0.000 6.455" Properties=species:S:1:pos:R:3 comment="GdSn2Bi PBE optimized geometry" space_group=P4/mmm density_g_cm3=8.84 magmom_total_mub_per_cell=7.16 formation_energy_ev_per_atom=-0.33 pbc="T T T"
Gd 2.096 2.096 3.227
Bi 2.096 2.096 0.000
Sn 0.000 0.000 4.810
Sn 0.000 0.000 1.645


4
Lattice="3.730 0.000 0.000 -1.865 3.231 0.000 0.000 0.000 8.507" Properties=species:S:1:pos:R:3 comment="SiPb PBE optimized geometry" raw_formation_energy_mev_per_atom=229 space_group=P-3m1 density_g_cm3=7.62 magmom_total_mub_per_cell=0.00 pbc="T T T"
Pb 0.000 2.154 1.435
Pb 1.865 1.077 7.072
Si 0.000 2.154 4.736
Si 1.865 1.077 3.771


4
Lattice="4.761 0.005 -0.002 3.846 2.807 -0.002 0.901 0.294 5.685" Properties=species:S:1:pos:R:3 comment="SrIrRh2 PBE optimized geometry" space_group=C2/m density_g_cm3=10.63 e_above_lowest_polymorph_kj_per_mol_atoms=30.09 magmom_total_mub_per_cell=0.00 formation_energy_ev_per_atom=0.18 pbc="T T T"
Ir 2.377 0.777 1.420
Rh 8.567 2.799 0.408
Rh 4.794 1.566 2.430
Sr 7.131 2.330 4.261


4
Lattice="-4.135 0.785 2.746 -4.256 1.469 -2.231 -3.882 -3.172 -0.342" Properties=species:S:1:pos:R:3 comment="SnBiS2 PBE optimized geometry" raw_formation_energy_mev_per_atom=-89 space_group=Fm-3m density_g_cm3=7.25 magmom_total_mub_per_cell=0.00 pbc="T T T"
S -3.068 -0.229 0.043
S -9.205 -0.688 0.130
Bi -6.136 -0.459 0.087
Sn 0.000 0.000 0.000


4
Lattice="-0.421 2.732 -1.029 -3.478 0.613 3.051 3.004 1.630 3.098" Properties=species:S:1:pos:R:3 comment="TaIr2Se PBE optimized geometry" raw_formation_energy_mev_per_atom=22 space_group=Pmmm density_g_cm3=16.85 magmom_total_mub_per_cell=0.00 pbc="T T T"
Ir 0.000 0.000 0.000
Ir -1.950 1.673 1.011
Se 1.292 2.181 1.034
Ta -0.237 1.122 3.074


4
Lattice="-0.894 -0.689 -5.234 -0.247 -4.942 -2.046 -4.687 -1.971 -1.679" Properties=species:S:1:pos:R:3 comment="LaTmAlTl PBE optimized geometry" space_group=F-43m density_g_cm3=8.25 magmom_total_mub_per_cell=0.00 formation_energy_ev_per_atom=-0.33 pbc="T T T"
Tl 0.000 0.000 0.000
Tm -1.457 -1.901 -2.240
Al -2.914 -3.801 -4.479
La -4.371 -5.702 -6.719


29
Lattice="-3.734 4.923 6.406 0.000 -2.903 8.414 5.113 4.002 6.088" Properties=species:S:1:pos:R:3 comment="Nd3Ge6Pd20 PBE optimized geometry" space_group=Fm-3m density_g_cm3=9.98 magmom_total_mub_per_cell=0.00 formation_energy_ev_per_atom=-0.66 pbc="T T T"
Nd 1.035 4.517 15.681
Nd 0.345 1.506 5.227
Nd 0.000 0.000 0.000
Ge 2.744 2.123 12.334
Ge -1.364 3.899 8.575
Ge 2.744 3.471 8.427
Ge 1.010 5.757 11.402
Ge 0.370 0.265 9.507
Ge -1.364 2.551 12.482
Pd 2.919 4.178 10.857
Pd 2.597 1.414 9.903
Pd -2.433 3.208 4.175
Pd -2.433 2.197 7.106
Pd 3.332 2.607 3.967
Pd 0.529 0.951 11.944
Pd 3.332 1.596 6.898
Pd -0.651 4.602 6.296
Pd 0.000 -1.891 5.483
Pd 1.782 1.394 2.121
Pd 2.031 4.323 6.199
Pd 0.000 -1.011 2.931
Pd -1.300 -0.176 7.715
Pd -1.301 1.715 2.232
Pd 0.529 2.307 8.011
Pd -1.539 1.844 10.052
Pd 0.851 3.715 12.897
Pd 0.851 5.071 8.965
Pd -1.216 4.609 11.006
Pd 1.782 -0.497 7.604


8
Lattice="6.932 -0.695 -1.065 -3.582 5.975 1.065 -3.582 -1.430 5.898" Properties=species:S:1:pos:R:3 comment="Na2InSiS4 PBE optimized geometry" raw_formation_energy_mev_per_atom=-774 space_group=I-4 density_g_cm3=2.45 magmom_total_mub_per_cell=0.71 pbc="T T T"
Na -0.116 3.776 1.741
Na 0.000 0.000 0.000
In -0.116 0.074 4.158
Si -3.582 2.273 3.481
S 1.217 1.423 2.196
S -2.800 0.284 3.712
S 4.118 2.582 0.679
S -3.001 3.411 5.210


4
Lattice="-6.002 -7.202 3.354 -5.700 -8.157 -0.336 -3.005 -9.247 2.148" Properties=species:S:1:pos:R:3 comment="HfAlTe2 PBE optimized geometry" raw_formation_energy_mev_per_atom=-265 space_group=R-3m density_g_cm3=6.22 e_above_lowest_polymorph_kj_per_mol_atoms=0.00 magmom_total_mub_per_cell=0.00 pbc="T T T"
Te -13.182 -22.054 4.631
Te -1.525 -2.552 0.536
Hf -7.353 -12.303 2.583
Al 0.000 0.000 0.000


4
Lattice="4.109 0.000 0.000 0.000 4.109 0.000 0.000 0.000 8.247" Properties=species:S:1:pos:R:3 comment="Ca2HoEr PBE optimized geometry" space_group=P4/mmm density_g_cm3=4.92 e_above_lowest_polymorph_kj_per_mol_atoms=0.87 magmom_total_mub_per_cell=0.00 formation_energy_ev_per_atom=0.21 pbc="T T T"
Ca 0.000 0.000 6.178
Ca 0.000 0.000 2.068
Ho 2.055 2.055 0.000
Er 2.055 2.055 4.123


4
Lattice="-7.178 0.930 -0.624 -6.870 -2.285 0.602 -0.764 1.677 4.590" Properties=species:S:1:pos:R:3 comment="YSiCl2 PBE optimized geometry" raw_formation_energy_mev_per_atom=-1046 space_group=C2/m density_g_cm3=2.61 e_above_lowest_polymorph_kj_per_mol_atoms=0.00 magmom_total_mub_per_cell=0.00 pbc="T T T"
Cl -12.570 -1.146 0.153
Cl -8.884 -0.047 2.109
Si -11.109 0.242 3.426
Y -3.703 0.081 1.142


20
Lattice="5.471 0.000 0.000 0.000 9.155 -2.825 0.000 0.192 11.655" Properties=species:S:1:pos:R:3 comment="AcNd3Mg6 PBE optimized geometry" space_group=P2_1/m density_g_cm3=4.56 magmom_total_mub_per_cell=0.00 formation_energy_ev_per_atom=-0.07 pbc="T T T"
Ac 1.368 8.794 4.383
Ac 4.104 0.553 4.447
Nd 1.368 5.025 3.020
Nd 4.104 4.322 5.809
Nd 1.368 3.383 8.293
Nd 4.104 5.964 0.537
Nd 1.368 7.102 9.485
Nd 4.104 2.245 -0.656
Mg 1.368 4.079 -0.129
Mg 4.104 5.268 8.958
Mg 1.368 1.405 1.841
Mg 4.104 7.942 6.988
Mg 1.368 6.102 6.351
Mg 4.104 3.245 2.478
Mg 1.368 2.478 5.015
Mg 4.104 6.869 3.815
Mg 1.368 7.813 0.958
Mg 4.104 1.534 7.871
Mg 1.368 0.674 10.435
Mg 4.104 8.673 -1.605


5
Lattice="-3.809 3.222 -1.245 -2.798 -3.965 -1.699 -2.025 -0.582 4.690" Properties=species:S:1:pos:R:3 comment="SrAlPd3 PBE optimized geometry" space_group=Pm-3m density_g_cm3=5.30 e_above_lowest_polymorph_kj_per_mol_atoms=153.82 magmom_total_mub_per_cell=0.00 formation_energy_ev_per_atom=0.95 pbc="T T T"
Sr 0.000 0.000 0.000
Al -4.316 -0.662 0.873
Pd -1.399 -1.982 -0.850
Pd -1.012 -0.291 2.345
Pd -1.905 1.611 -0.622


9
Lattice="-2.225 -2.420 -3.430 -3.693 -0.025 8.994 -3.568 7.194 -2.761" Properties=species:S:1:pos:R:3 comment="Cs2Li2SbTe4 PBE optimized geometry" raw_formation_energy_mev_per_atom=-690 space_group=Cmmm density_g_cm3=4.49 magmom_total_mub_per_cell=0.00 pbc="T T T"
Cs -4.167 1.395 5.010
Cs -5.319 3.354 -2.207
Li -2.902 -0.316 -1.187
Li -6.584 5.065 3.990
Sb 0.000 0.000 0.000
Te -6.873 4.798 1.076
Te -7.464 2.384 3.161
Te -2.613 -0.048 1.727
Te -2.022 2.365 -0.358


12
Lattice="-4.842 1.217 2.270 -1.089 -4.379 0.023 7.063 -1.674 15.962" Properties=species:S:1:pos:R:3 comment="CsRbZnGeTeH PBE optimized geometry" space_group=Imm2 density_g_cm3=3.71 e_above_lowest_polymorph_kj_per_mol_atoms=0.00 magmom_total_mub_per_cell=0.88 pbc="T T T"
Zn 1.367 -2.642 4.331
Zn 3.022 -0.681 13.435
H 0.851 -0.202 1.923
H 1.417 -2.620 11.050
Ge 1.501 -0.356 3.392
Ge 2.067 -2.774 12.519
Rb 5.578 -3.640 13.848
Rb 0.170 -0.006 6.991
Cs 4.200 -0.995 9.490
Cs -2.298 -1.739 2.656
Te 2.411 -2.890 6.691
Te 4.066 -0.929 15.795


4
Lattice="-4.273 -0.400 -2.500 -0.028 -1.924 -4.579 -1.998 -4.476 -0.801" Properties=species:S:1:pos:R:3 comment="CeAlZnHg PBE optimized geometry" space_group=F-43m density_g_cm3=8.30 magmom_total_mub_per_cell=0.72 formation_energy_ev_per_atom=-0.25 pbc="T T T"
Zn 0.000 0.000 0.000
Hg -3.150 -3.400 -3.940
Ce -4.724 -5.100 -5.910
Al -1.575 -1.700 -1.970


4
Lattice="3.282 -0.025 0.000 -1.878 2.692 0.000 0.000 0.000 11.585" Properties=species:S:1:pos:R:3 comment="SbRuCl2 PBE optimized geometry" raw_formation_energy_mev_per_atom=173 space_group=Cmmm density_g_cm3=4.79 e_above_lowest_polymorph_kj_per_mol_atoms=33.68 magmom_total_mub_per_cell=0.00 pbc="T T T"
Sb 0.702 1.334 8.689
Cl 0.000 0.000 1.079
Cl 0.000 0.000 4.713
Ru 0.702 1.334 2.896